Entry 1:
Below is TcIr after structural relaxation, with properties calculated at the PBE level.

Unit cell a=4.2642 b=4.2642 c=8.0141 alpha=90.00 beta=90.00 gamma=120.00
With the nearest neighbours (Å) after each atom.
Fractional coordinates of all 8 atoms:
Tc1 0.0000 0.0000 0.2500  3 Tc 2.46
Tc2 0.0000 0.0000 0.7500  3 Tc 2.46
Tc3 0.3333 0.6667 0.7500  3 Tc 2.46, 2 Ir 2.71
Tc4 0.6667 0.3333 0.2500  3 Tc 2.46, 2 Ir 2.71
Ir1 0.3333 0.6667 0.0884  4 Ir 2.59-2.84, 7 Tc 2.71-2.78
Ir2 0.6667 0.3333 0.5884  4 Ir 2.59-2.84, 7 Tc 2.71-2.78
Ir3 0.6667 0.3333 0.9116  4 Ir 2.59-2.84, 7 Tc 2.71-2.78
Ir4 0.3333 0.6667 0.4116  4 Ir 2.59-2.84, 7 Tc 2.71-2.78

* total magnetization: 0.000 μB per atom
* N(E_F): 1.13 states/eV/atom
* total energy: -74.414 eV per cell

Entry 2:
Below is TcIr after structural relaxation, with properties calculated at the PBE level.

Unit cell a=2.7366 b=2.7366 c=7.8196 alpha=90.00 beta=90.00 gamma=90.00
With the nearest neighbours (Å) after each atom.
Fractional coordinates of all 4 atoms:
Ir1 0.2500 0.2500 0.1351  4 Tc 2.65, 8 Ir 2.74-2.86
Ir2 0.7500 0.7500 0.8649  4 Tc 2.65, 8 Ir 2.74-2.86
Tc1 0.2500 0.2500 0.6338  4 Ir 2.65, 8 Tc 2.74-2.85
Tc2 0.7500 0.7500 0.3662  4 Ir 2.65, 8 Tc 2.74-2.85

* total magnetization: 0.000 μB per atom
* N(E_F): 1.05 states/eV/atom
* total energy: -38.852 eV per cell

Entry 3:
Below is TcIr5 after structural relaxation, with properties calculated at the PBE level.

Unit cell a=2.7368 b=5.1574 c=7.2556 alpha=115.23 beta=90.00 gamma=105.39
With the nearest neighbours (Å) after each atom.
Fractional coordinates of all 6 atoms:
Tc1 0.2820 0.5640 0.0559  10 Ir 2.70-2.75, 2 Tc 2.74
Ir1 0.9950 0.9900 0.0002  3 Tc 2.70, 9 Ir 2.70-2.75
Ir2 0.2850 0.5700 0.6822  10 Ir 2.66-2.77, 1 Tc 2.73
Ir3 0.7111 0.4221 0.3240  9 Ir 2.68-2.75, 2 Tc 2.71
Ir4 0.5660 0.1320 0.7306  9 Ir 2.66-2.74, 2 Tc 2.75
Ir5 0.9943 0.9885 0.3738  9 Ir 2.68-2.77, 2 Tc 2.71

* total magnetization: 0.000 μB per atom
* N(E_F): 0.91 states/eV/atom
* total energy: -54.768 eV per cell

Entry 4:
Below is Tc3Ir after structural relaxation, with properties calculated at the PBE level.

Unit cell a=2.7335 b=9.1313 c=2.7335 alpha=98.61 beta=60.00 gamma=98.61
With the nearest neighbours (Å) after each atom.
Fractional coordinates of all 4 atoms:
Ir1 0.0000 0.0000 0.0000  6 Ir 2.73, 6 Tc 2.76
Tc1 0.2495 0.7485 0.2495  9 Tc 2.73-2.74, 3 Ir 2.76
Tc2 0.5000 0.5000 0.5000  12 Tc 2.73-2.74
Tc3 0.7505 0.2515 0.7505  9 Tc 2.73-2.74, 3 Ir 2.76

* total magnetization: 0.000 μB per atom
* N(E_F): 0.84 states/eV/atom
* total energy: -40.082 eV per cell

Entry 5:
Below is TcIr after structural relaxation, with properties calculated at the PBE level.

Unit cell a=2.7587 b=4.7915 c=4.3701 alpha=90.00 beta=90.00 gamma=90.00
With the nearest neighbours (Å) after each atom.
Fractional coordinates of all 4 atoms:
Ir1 0.0000 0.0833 0.0000  6 Tc 2.70-2.78, 6 Ir 2.70-2.76
Ir2 0.5000 0.9167 0.5000  6 Tc 2.70-2.78, 6 Ir 2.70-2.76
Tc1 0.0000 0.4139 0.5000  6 Ir 2.70-2.78, 6 Tc 2.71-2.76
Tc2 0.5000 0.5861 0.0000  6 Ir 2.70-2.78, 6 Tc 2.71-2.76

* total magnetization: 0.000 μB per atom
* N(E_F): 0.72 states/eV/atom
* total energy: -39.244 eV per cell

Entry 6:
Below is TcIr2 after structural relaxation, with properties calculated at the PBE level.

Unit cell a=3.9451 b=4.6912 c=6.0207 alpha=90.00 beta=90.00 gamma=90.00
With the nearest neighbours (Å) after each atom.
Fractional coordinates of all 6 atoms:
Tc1 0.0000 0.0000 0.0000  6 Ir 2.50-2.51
Tc2 0.5000 0.5000 0.5000  6 Ir 2.50-2.51
Ir1 0.0000 0.2067 0.3837  1 Ir 2.39, 3 Tc 2.50-2.51
Ir2 0.5000 0.2933 0.8837  1 Ir 2.39, 3 Tc 2.50-2.51
Ir3 0.5000 0.7067 0.1163  1 Ir 2.39, 3 Tc 2.50-2.51
Ir4 0.0000 0.7933 0.6163  1 Ir 2.39, 3 Tc 2.50-2.51

* total magnetization: 0.000 μB per atom
* N(E_F): 0.85 states/eV/atom
* total energy: -50.835 eV per cell

Entry 7:
Below is TcIr5 after structural relaxation, with properties calculated at the PBE level.

Unit cell a=2.7559 b=5.2034 c=6.4997 alpha=76.28 beta=90.00 gamma=105.36
With the nearest neighbours (Å) after each atom.
Fractional coordinates of all 6 atoms:
Ir1 0.0013 0.0026 0.0012  9 Ir 2.69-2.76, 3 Tc 2.70-2.74
Ir2 0.3858 0.7716 0.7288  10 Ir 2.71-2.83, 2 Tc 2.72
Ir3 0.6669 0.3337 0.6672  11 Ir 2.71-2.77, 1 Tc 2.71
Ir4 0.0585 0.1170 0.3841  10 Ir 2.68-2.83, 2 Tc 2.73
Ir5 0.3323 0.6645 0.3308  10 Ir 2.68-2.77, 2 Tc 2.71
Tc1 0.7220 0.4440 0.0546  10 Ir 2.70-2.74, 2 Tc 2.76

* total magnetization: 0.000 μB per atom
* N(E_F): 0.93 states/eV/atom
* total energy: -55.101 eV per cell

Entry 8:
Below is TcIr after structural relaxation, with properties calculated at the PBE level.

Unit cell a=3.8564 b=3.8564 c=5.3309 alpha=90.00 beta=90.00 gamma=120.00
With the nearest neighbours (Å) after each atom.
Fractional coordinates of all 4 atoms:
Ir1 0.0000 0.0000 0.0000  6 Tc 2.59, 2 Ir 2.67
Ir2 0.0000 0.0000 0.5000  6 Tc 2.59, 2 Ir 2.67
Tc1 0.3333 0.6667 0.2500  6 Ir 2.59
Tc2 0.6667 0.3333 0.7500  6 Ir 2.59

* total magnetization: 0.263 μB per atom
* N(E_F): 1.79 states/eV/atom
* total energy: -35.657 eV per cell